The following is a PBE-GGA calculation of a relaxed LaSm6Dy3 crystal, from the Alexandria database.

Computed properties:
Excess energy over the best structure of this formula in the dataset   102 meV/atom

Lattice parameters (Å, degrees): 9.950 9.950 6.983 44.57 44.57 60.00
Element x y z (fractional)
Sm: 0.400 0.726 0.800
Sm: 0.900 0.570 0.300
Sm: 0.570 0.230 0.300
Sm: 0.073 0.400 0.800
Sm: 0.726 0.073 0.800
Sm: 0.230 0.900 0.300
Dy: 0.154 0.154 0.538
Dy: 0.400 0.400 0.800
Dy: 0.646 0.646 0.061
La: 0.900 0.900 0.299


The following is a PBE-GGA calculation of a relaxed La4Sm2Dy5 crystal, from the Alexandria database.

Computed properties:
Excess energy over the best structure of this formula in the dataset   0 meV/atom

Lattice parameters (Å, degrees): 3.558 11.815 9.105 94.44 101.27 90.00
Element x y z (fractional)
Sm: 0.715 0.355 0.429
Sm: 0.285 0.645 0.571
Dy: 0.903 0.460 0.806
Dy: 0.178 0.069 0.356
Dy: 0.500 0.000 0.000
Dy: 0.097 0.540 0.194
Dy: 0.822 0.931 0.644
La: 0.963 0.739 0.926
La: 0.359 0.203 0.718
La: 0.037 0.261 0.074
La: 0.641 0.797 0.282


The following is a PBE-GGA calculation of a relaxed LaSmDy crystal, from the Alexandria database.

Computed properties:
Excess energy over the best structure of this formula in the dataset   4 meV/atom

Lattice parameters (Å, degrees): 3.656 5.143 6.290 114.13 106.90 90.00
Element x y z (fractional)
Sm: 0.335 0.335 0.670
Dy: 0.998 0.998 0.996
La: 0.667 0.667 0.333


The following is a PBE-GGA calculation of a relaxed La2SmDy8 crystal, from the Alexandria database.

Lattice parameters (Å, degrees): 5.086 8.028 9.489 104.75 105.54 90.00
Element x y z (fractional)
Dy: 0.589 0.454 0.178
Dy: 0.411 0.546 0.822
Dy: 0.956 0.273 0.913
Dy: 0.044 0.727 0.087
Dy: 0.865 0.824 0.730
Dy: 0.135 0.176 0.270
Dy: 0.319 0.094 0.638
Dy: 0.681 0.906 0.362
La: 0.227 0.637 0.455
La: 0.773 0.363 0.545
Sm: 0.500 0.000 0.000


The following is a PBE-GGA calculation of a relaxed La3Sm2Dy8 crystal, from the Alexandria database.

Computed properties:
Excess energy over the best structure of this formula in the dataset   168 meV/atom

Lattice parameters (Å, degrees): 5.672 7.741 10.914 110.77 89.99 90.00
Element x y z (fractional)
La: 0.500 0.000 0.000
La: 0.000 0.701 0.000
La: 0.000 0.299 0.000
Dy: 0.000 0.671 0.341
Dy: 0.500 0.183 0.782
Dy: 0.000 0.329 0.659
Dy: 0.500 0.600 0.782
Dy: 0.500 0.400 0.218
Dy: 0.000 0.136 0.271
Dy: 0.500 0.817 0.218
Dy: 0.000 0.864 0.729
Sm: 0.500 0.241 0.483
Sm: 0.500 0.759 0.517


The following is a PBE-GGA calculation of a relaxed La4Sm10Dy crystal, from the Alexandria database.

Lattice parameters (Å, degrees): 10.674 8.838 8.838 68.61 52.85 52.85
Element x y z (fractional)
Sm: 0.868 0.909 0.679
Sm: 0.250 0.500 0.500
Sm: 0.776 0.679 0.091
Sm: 0.224 0.321 0.909
Sm: 0.455 0.091 0.321
Sm: 0.454 0.679 0.091
Sm: 0.750 0.500 0.500
Sm: 0.545 0.909 0.679
Sm: 0.546 0.321 0.909
Sm: 0.132 0.091 0.321
Dy: 0.000 0.000 0.000
La: 0.059 0.611 0.271
La: 0.330 0.729 0.611
La: 0.670 0.271 0.389
La: 0.941 0.389 0.729


Summary of D(E_F) in states/eV/f.u.
20.6; 17.0; 4.3; 17.1; 23.6; 21.0
(order as listed above)
Summary of formation enthalpy at 0 K in meV per atom
249; 84; 23; 28; 251; 319
(order as listed above)